No. 1
Entry from the Alexandria database: a geometry-optimized SrLi3In3 structure (PBE-GGA).

The value obtained for the calculated formation energy is 0.049 eV/atom. The total DFT energy (no corrections) comes out at -15.30 eV/f.u. As for the volume: 28.3 Å³ per atom.

It has space group Pm-3n (No. 223), with a = 7.3461 Å, b = 7.3461 Å, c = 7.3461 Å, α = 90.00°, β = 90.00° and γ = 90.00°. Symmetry generates all atoms from Sr at (0.0000, 0.0000, 0.0000), Li at (0.0000, 0.2500, 0.5000) and In at (0.0000, 0.5000, 0.2500).

---

No. 2
Entry from the Alexandria database: a geometry-optimized Sr3Li2In5 structure (PBE-GGA).

The value obtained for the calculated formation energy is -0.378 eV/atom. The total DFT energy (no corrections) comes out at -26.35 eV/f.u. As for the volume: 28.1 Å³ per atom.

It has space group P4/mbm (No. 127), with a = 11.0170 Å, b = 11.0170 Å, c = 4.6225 Å, α = 90.00°, β = 90.00° and γ = 90.00°. Symmetry generates all atoms from Sr at (0.0000, 0.0000, 0.0000), Sr at (0.1802, 0.3198, 0.0000), Li at (0.1116, 0.6116, 0.0000), In at (0.0000, 0.5000, 0.5000) and In at (0.0666, 0.7754, 0.5000).

---

- The lowest calculated formation energy belongs to which entry?
  Sr3Li2In5

---

- Which formula does entry 1 have?
  SrLi3In3